# GGA-PBE Be2ZnSe, relaxed
data_Be2ZnSe
_chemical_formula_sum 'Be2 Zn1 Se1'
_cell_length_a 3.283
_cell_length_b 3.291
_cell_length_c 5.899
_cell_angle_alpha 90.00
_cell_angle_beta 90.00
_cell_angle_gamma 90.00
_symmetry_space_group_name_H-M 'P m m m'
_symmetry_Int_Tables_number 47
loop_
_symmetry_equiv_pos_as_xyz
'x,y,z'
'-x,-y,-z'
'-x,-y,z'
'x,y,-z'
'x,-y,-z'
'-x,y,z'
'-x,y,-z'
'x,-y,z'
loop_
_atom_site_label
_atom_site_fract_x
_atom_site_fract_y
_atom_site_fract_z
Be1 0.000 0.000 0.000
Be2 0.000 0.500 0.500
Zn1 0.500 0.000 0.500
Se1 0.500 0.500 0.000
# - ρ: 4.232 g/cm³
# - Formation energy (no corrections): 404 meV per atom

# GGA-PBE Cs3Li2PmBr9, relaxed
data_Cs3Li2PmBr9
_chemical_formula_sum 'Cs3 Li2 Pm1 Br9'
_cell_length_a 7.8841
_cell_length_b 7.8841
_cell_length_c 9.8316
_cell_angle_alpha 90.00
_cell_angle_beta 90.00
_cell_angle_gamma 120.00
_symmetry_space_group_name_H-M 'P -3 m 1'
_symmetry_Int_Tables_number 164
_symmetry_space_group_name_Hall '-P 3 2"'
loop_
_atom_site_label
_atom_site_fract_x
_atom_site_fract_y
_atom_site_fract_z
Cs1 0.0000 0.0000 0.0000
Cs2 0.3333 0.6667 0.6767
Li1 0.3333 0.6667 0.1452
Pm1 0.0000 0.0000 0.5000
Br1 0.0000 0.5000 0.0000
Br2 0.1704 0.3407 0.3300
# - ρ: 4.006 g/cm³
# - Formation energy (no corrections): -1604 meV per atom

# GGA-PBE SmTm4Co4, relaxed
data_SmTm4Co4
_chemical_formula_sum 'Sm2 Tm8 Co8'
_cell_length_a 8.401
_cell_length_b 8.401
_cell_length_c 5.474
_cell_angle_alpha 90.00
_cell_angle_beta 90.00
_cell_angle_gamma 90.00
_symmetry_space_group_name_H-M 'P 42/n'
_symmetry_Int_Tables_number 86
loop_
_symmetry_equiv_pos_as_xyz
'x,y,z'
'-x,-y,-z'
'-y,x+1/2,z+1/2'
'y,-x+1/2,-z+1/2'
'-x+1/2,-y+1/2,z'
'x+1/2,y+1/2,-z'
'y+1/2,-x,z+1/2'
'-y+1/2,x,-z+1/2'
loop_
_atom_site_label
_atom_site_fract_x
_atom_site_fract_y
_atom_site_fract_z
Sm1 0.250 0.250 0.250
Tm1 0.067 0.671 0.134
Co1 0.017 0.610 0.620
# - ρ: 9.126 g/cm³
# - Energy of formation: -0.075 eV per atom

# GGA-PBE Er4PPtS2, relaxed
data_Er4PPtS2
_chemical_formula_sum 'Er4 P1 Pt1 S2'
_cell_length_a 6.850
_cell_length_b 3.909
_cell_length_c 6.921
_cell_angle_alpha 90.00
_cell_angle_beta 108.84
_cell_angle_gamma 90.00
_symmetry_space_group_name_H-M 'P 1 2/m 1'
_symmetry_Int_Tables_number 10
loop_
_symmetry_equiv_pos_as_xyz
'x,y,z'
'-x,-y,-z'
'-x,y,-z'
'x,-y,z'
loop_
_atom_site_label
_atom_site_fract_x
_atom_site_fract_y
_atom_site_fract_z
Er1 0.246 0.000 0.246
Er2 0.250 0.500 0.753
P1 0.000 0.500 0.000
Pt1 0.500 0.000 0.000
S1 0.000 0.000 0.500
S2 0.500 0.500 0.500
# - ρ: 9.081 g/cm³
# - Formation energy (no corrections): -1655 meV per atom

# GGA-PBE La2Pm8Y, relaxed
data_La2Pm8Y
_chemical_formula_sum 'La4 Pm16 Y2'
_cell_length_a 18.660
_cell_length_b 5.188
_cell_length_c 8.187
_cell_angle_alpha 90.00
_cell_angle_beta 105.28
_cell_angle_gamma 90.00
_symmetry_space_group_name_H-M 'C 1 2/m 1'
_symmetry_Int_Tables_number 12
loop_
_symmetry_equiv_pos_as_xyz
'x,y,z'
'-x,-y,-z'
'-x,y,-z'
'x,-y,z'
'x+1/2,y+1/2,z'
'-x+1/2,-y+1/2,-z'
'-x+1/2,y+1/2,-z'
'x+1/2,-y+1/2,z'
loop_
_atom_site_label
_atom_site_fract_x
_atom_site_fract_y
_atom_site_fract_z
La1 0.227 0.000 0.137
Pm1 0.044 0.000 0.228
Pm2 0.090 0.500 0.953
Pm3 0.135 0.000 0.678
Pm4 0.181 0.500 0.408
Y1 0.000 0.500 0.500
# - ρ: 6.632 g/cm³
# - Energy of formation: 0.017 eV per atom

# GGA-PBE ZnRhW2Br, relaxed
data_ZnRhW2Br
_chemical_formula_sum 'Zn1 Rh1 W2 Br1'
_cell_length_a 4.810
_cell_length_b 4.810
_cell_length_c 5.148
_cell_angle_alpha 90.00
_cell_angle_beta 90.00
_cell_angle_gamma 90.00
_symmetry_space_group_name_H-M 'P 4/m m m'
_symmetry_Int_Tables_number 123
_symmetry_space_group_name_Hall '-P 4 2'
loop_
_atom_site_label
_atom_site_fract_x
_atom_site_fract_y
_atom_site_fract_z
Zn1 0.000 0.000 0.000
Rh1 0.500 0.500 0.500
W1 0.000 0.500 0.500
Br1 0.500 0.500 0.000
# - ρ: 8.586 g/cm³
# - Formation energy (no corrections): 1877 meV per atom

# GGA-PBE NdHoAg, relaxed
data_NdHoAg
_chemical_formula_sum 'Nd1 Ho1 Ag1'
_cell_length_a 5.0843
_cell_length_b 5.0843
_cell_length_c 3.7651
_cell_angle_alpha 90.00
_cell_angle_beta 90.00
_cell_angle_gamma 120.00
_symmetry_space_group_name_H-M 'P 3 m 1'
_symmetry_Int_Tables_number 156
loop_
_symmetry_equiv_pos_as_xyz
'x,y,z'
'-y,x-y,z'
'-x+y,-x,z'
'-y,-x,z'
'-x+y,y,z'
'x,x-y,z'
loop_
_atom_site_label
_atom_site_fract_x
_atom_site_fract_y
_atom_site_fract_z
Nd1 0.0000 0.0000 0.0000
Ho1 0.3333 0.6667 0.5420
Ag1 0.6667 0.3333 0.3480
# - ρ: 8.216 g/cm³
# - Energy of formation: -0.024 eV per atom

# GGA-PBE CeAgAu, relaxed
data_CeAgAu
_chemical_formula_sum 'Ce2 Ag2 Au2'
_cell_length_a 3.831
_cell_length_b 3.831
_cell_length_c 9.471
_cell_angle_alpha 90.00
_cell_angle_beta 90.00
_cell_angle_gamma 90.00
_symmetry_space_group_name_H-M 'I 4 m m'
_symmetry_Int_Tables_number 107
_symmetry_space_group_name_Hall 'I 4 -2'
loop_
_atom_site_label
_atom_site_fract_x
_atom_site_fract_y
_atom_site_fract_z
Ce1 0.000 0.000 0.000
Ag1 0.000 0.000 0.677
Au1 0.000 0.000 0.336
# - ρ: 10.632 g/cm³
# - Energy of formation: -0.385 eV per atom

Uncorrected energy? In order: -2.648 -3.351 -5.745 -6.400 -4.921 -5.364 -4.090 -4.406 eV/atom.